An optimized crystal structure of PuMgH6Ir2. Source: Alexandria via LeMat-Bulk, functional GGA-PBE.

Summary:
The total energy comes out at -56.85 eV for the cell shown.

Unit cell a=5.8171 b=5.8171 c=5.8171 alpha=46.36 beta=46.36 gamma=46.36
Positions (direct):
Pu 0.0000 0.0000 0.0000
Mg 0.5000 0.5000 0.5000
H 0.0574 0.5599 0.5599
H 0.4401 0.4401 0.9426
H 0.4401 0.9426 0.4401
H 0.5599 0.0574 0.5599
H 0.5599 0.5599 0.0574
H 0.9426 0.4401 0.4401
Ir 0.2086 0.2086 0.2086
Ir 0.7914 0.7914 0.7914